Record 1
This record from the Alexandria database describes a relaxed structure of KVSe2. The functional is GGA-PBE.

Cell lengths 4.1889, 4.1889, 7.6196 Å; angles 90.00, 90.00, 120.00 degrees
With the nearest neighbours (Å) after each atom.
Space group P3m1 (No. 156)
Symmetry-distinct sites (fractional):
K  0.0000  0.0000  0.0000 [1 per cell]  6 Se 3.16-3.48
V  0.3333  0.6667  0.4371 [1 per cell]  1 Se 2.26
Se  0.3333  0.6667  0.7334 [1 per cell]  1 V 2.26
Se  0.6667  0.3333  0.3282 [1 per cell]  3 V 2.56

V: 28.95 Å³/atom
ΔE_f (raw): -2.6 eV/f.u.
E_tot: -4.95 eV/atom
Size of the total moment: 2.00 Bohr magnetons per cell
Crystal system: trigonal
Theoretical density: 3556 kg/m3
DOS(E_F): 1.7 states/eV/cell

***

Record 2
This record from the Alexandria database describes a relaxed structure of Na6NbP4. The functional is GGA-PBE.

Cell lengths 9.3097, 9.3097, 7.1661 Å; angles 90.00, 90.00, 120.00 degrees
With the nearest neighbours (Å) after each atom.
Space group P6_3mc (No. 186)
Symmetry-distinct sites (fractional):
Na  0.0641  0.5320  0.0000 [6 per cell]  5 P 2.97-3.25, 1 Nb 3.31
Na  0.1454  0.2908  0.6802 [6 per cell]  4 P 2.89-3.04
Nb  0.3333  0.6667  0.3843 [2 per cell]  4 P 2.38-2.40
P  0.1913  0.3825  0.2843 [6 per cell]  1 Nb 2.40
P  0.3333  0.6667  0.7169 [2 per cell]  1 Nb 2.38

V: 24.45 Å³/atom
ΔH_f (0 K): -427 meV/atom
E_tot: -4.03 eV/atom
Size of the total moment: 1.52 Bohr magnetons per cell
Crystal system: hexagonal
Theoretical density: 2190 kg/m3
DOS(E_F): 14.1 states/eV/cell

***

Record 3
This record from the Alexandria database describes a relaxed structure of Ac2Cd2GaPt4. The functional is GGA-PBE.

Cell lengths 6.9911, 6.9911, 8.3974 Å; angles 90.00, 90.00, 90.00 degrees
With the nearest neighbours (Å) after each atom.
Space group I4/mmm (No. 139)
Symmetry-distinct sites (fractional):
Ac  0.0000  0.5000  0.2500 [4 per cell]  8 Pt 3.24, 4 Cd 3.55
Cd  0.0000  0.0000  0.1746 [4 per cell]  1 Ga 2.73, 4 Pt 2.85, 1 Cd 2.93
Ga  0.0000  0.0000  0.5000 [2 per cell]  4 Pt 2.50, 2 Cd 2.73
Pt  0.2468  0.2468  0.0000 [8 per cell]  1 Ga 2.50

V: 22.80 Å³/atom
ΔH_f (0 K): -703 meV/atom
E_tot: -4.84 eV/atom
Size of the total moment: 0.00 Bohr magnetons per cell
Crystal system: tetragonal
Theoretical density: 12371 kg/m3
DOS(E_F): 8.0 states/eV/cell

***

Record 4
This record from the Alexandria database describes a relaxed structure of Al3SnO. The functional is GGA-PBE.

Cell lengths 4.3638, 4.3638, 4.3638 Å; angles 90.00, 90.00, 90.00 degrees
With the nearest neighbours (Å) after each atom.
Space group Pm-3m (No. 221)
Symmetry-distinct sites (fractional):
Al  0.0000  0.0000  0.5000 [3 per cell]  2 O 2.18
Sn  0.5000  0.5000  0.5000 [1 per cell]  12 Al 3.09
O  0.0000  0.0000  0.0000 [1 per cell]  6 Al 2.18

V: 16.62 Å³/atom
ΔE_f (raw): -1.7 eV/f.u.
ΔE to the lowest computed polymorph: 0.0 meV/atom
E_tot: -4.38 eV/atom
Size of the total moment: 0.00 Bohr magnetons per cell
Crystal system: cubic
Theoretical density: 4309 kg/m3
DOS(E_F): 1.7 states/eV/cell